(1)
A plane-wave DFT calculation with GGA-PBE was carried out for a relaxed Cs2DyCu3F12 crystal.

**Crystal system**: trigonal
**VASP energy**: -253.4 eV/cell

Cell: 7.4929 7.4929 18.6537 Å, 90.00 90.00 120.00°
Space group R-3m (No. 166, hexagonal axes)
One atom of each set of equivalent atoms:
1 Cs 0.0000 0.0000 0.1120 (multiplicity 6)
2 Dy 0.0000 0.0000 0.5000 (multiplicity 3)
3 Cu 0.0000 0.5000 0.0000 (multiplicity 9)
4 F 0.0416 0.5208 0.1071 (multiplicity 18)
5 F 0.0772 0.5386 0.3421 (multiplicity 18)



(2)
A plane-wave DFT calculation with GGA-PBE was carried out for a relaxed Cs2DyCuI6 crystal.

**Crystal system**: triclinic
**VASP energy**: -31.5 eV/cell

Cell: 8.166 8.469 8.541 Å, 114.65 113.56 99.18°
Space group P-1 (No. 2)
One atom of each set of equivalent atoms:
1 Cs 0.243 0.243 0.486 (multiplicity 2)
2 Dy 0.000 0.500 0.000 (multiplicity 1)
3 Cu 0.500 0.000 0.000 (multiplicity 1)
4 I 0.218 0.838 0.001 (multiplicity 2)
5 I 0.228 0.728 0.457 (multiplicity 2)
6 I 0.289 0.322 0.001 (multiplicity 2)



(3)
A plane-wave DFT calculation with GGA-PBE was carried out for a relaxed Cs3DyCu2I9 crystal.

**Crystal system**: trigonal
**VASP energy**: -44.1 eV/cell

Cell: 8.2959 8.2959 10.2858 Å, 90.00 90.00 120.00°
Space group P-3m1 (No. 164)
One atom of each set of equivalent atoms:
1 Cs 0.0000 0.0000 0.0000 (multiplicity 1)
2 Cs 0.3333 0.6667 0.6669 (multiplicity 2)
3 Dy 0.0000 0.0000 0.5000 (multiplicity 1)
4 Cu 0.3333 0.6667 0.1282 (multiplicity 2)
5 I 0.0000 0.5000 0.0000 (multiplicity 3)
6 I 0.1712 0.3425 0.3288 (multiplicity 6)



(4)
A plane-wave DFT calculation with GGA-PBE was carried out for a relaxed Cs2DyCu2O4 crystal.

**Crystal system**: monoclinic
**VASP energy**: -95.5 eV/cell

Cell: 14.589 3.568 6.795 Å, 90.00 107.55 90.00°
Space group C2/m (No. 12)
One atom of each set of equivalent atoms:
1 Cs 0.133 0.000 0.072 (multiplicity 4)
2 Dy 0.000 0.000 0.500 (multiplicity 2)
3 Cu 0.163 0.500 0.546 (multiplicity 4)
4 O 0.031 0.500 0.311 (multiplicity 4)
5 O 0.172 0.000 0.642 (multiplicity 4)



(5)
A plane-wave DFT calculation with GGA-PBE was carried out for a relaxed CsDy2CuS4 crystal.

**Crystal system**: orthorhombic
**VASP energy**: -175.0 eV/cell

Cell: 4.011 14.097 13.872 Å, 90.00 90.00 90.00°
Space group Cmcm (No. 63)
One atom of each set of equivalent atoms:
1 Cs 0.000 0.106 0.250 (multiplicity 4)
2 Dy 0.000 0.366 0.061 (multiplicity 8)
3 Cu 0.000 0.168 0.750 (multiplicity 4)
4 S 0.000 0.000 0.000 (multiplicity 4)
5 S 0.000 0.255 0.605 (multiplicity 8)
6 S 0.000 0.418 0.250 (multiplicity 4)



(6)
A plane-wave DFT calculation with GGA-PBE was carried out for a relaxed CsDy2Cu3S5 crystal.

**Crystal system**: orthorhombic
**VASP energy**: -226.6 eV/cell

Cell: 3.973 14.097 16.868 Å, 90.00 90.00 90.00°
Space group Cmcm (No. 63)
One atom of each set of equivalent atoms:
1 Cs 0.000 0.063 0.250 (multiplicity 4)
2 Dy 0.000 0.192 0.591 (multiplicity 8)
3 Cu 0.000 0.341 0.250 (multiplicity 4)
4 Cu 0.000 0.415 0.535 (multiplicity 8)
5 S 0.000 0.169 0.069 (multiplicity 8)
6 S 0.000 0.231 0.750 (multiplicity 4)
7 S 0.000 0.438 0.107 (multiplicity 8)



(7)
A plane-wave DFT calculation with GGA-PBE was carried out for a relaxed CsDyCuS3 crystal.

**Crystal system**: monoclinic
**VASP energy**: -59.2 eV/cell

Cell: 9.349 4.005 9.733 Å, 90.00 111.23 90.00°
Space group P2_1/m (No. 11)
One atom of each set of equivalent atoms:
1 Cs 0.212 0.250 0.246 (multiplicity 2)
2 Dy 0.330 0.750 0.860 (multiplicity 2)
3 Cu 0.082 0.250 0.612 (multiplicity 2)
4 S 0.129 0.250 0.859 (multiplicity 2)
5 S 0.171 0.750 0.550 (multiplicity 2)
6 S 0.477 0.750 0.157 (multiplicity 2)



(8)
A plane-wave DFT calculation with GGA-PBE was carried out for a relaxed Cs2DyCu2S4 crystal.

**Crystal system**: monoclinic
**VASP energy**: -82.2 eV/cell

Cell: 14.860 3.989 8.107 Å, 90.00 107.61 90.00°
Space group C2/m (No. 12)
One atom of each set of equivalent atoms:
1 Cs 0.136 0.000 0.058 (multiplicity 4)
2 Dy 0.000 0.000 0.500 (multiplicity 2)
3 Cu 0.177 0.500 0.483 (multiplicity 4)
4 S 0.023 0.500 0.284 (multiplicity 4)
5 S 0.197 0.000 0.643 (multiplicity 4)



(9)
A plane-wave DFT calculation with GGA-PBE was carried out for a relaxed CsDyCuS2 crystal.

**Crystal system**: monoclinic
**VASP energy**: -46.6 eV/cell

Cell: 8.066 4.750 7.866 Å, 90.00 100.03 90.00°
Space group P2/c (No. 13)
One atom of each set of equivalent atoms:
1 Cs 0.000 0.177 0.250 (multiplicity 2)
2 Dy 0.500 0.494 0.750 (multiplicity 2)
3 Cu 0.500 0.000 0.000 (multiplicity 2)
4 S 0.292 0.317 0.964 (multiplicity 4)



(10)
A plane-wave DFT calculation with GGA-PBE was carried out for a relaxed Cs2DyCu2Se4 crystal.

**Crystal system**: monoclinic
**VASP energy**: -75.9 eV/cell

Cell: 15.340 4.119 8.498 Å, 90.00 107.53 90.00°
Space group C2/m (No. 12)
One atom of each set of equivalent atoms:
1 Cs 0.135 0.000 0.057 (multiplicity 4)
2 Dy 0.000 0.000 0.500 (multiplicity 2)
3 Cu 0.179 0.500 0.484 (multiplicity 4)
4 Se 0.023 0.500 0.281 (multiplicity 4)
5 Se 0.198 0.000 0.655 (multiplicity 4)



(11)
A plane-wave DFT calculation with GGA-PBE was carried out for a relaxed CsDy2Cu3Se5 crystal.

**Crystal system**: orthorhombic
**VASP energy**: -208.5 eV/cell

Cell: 4.145 14.724 17.451 Å, 90.00 90.00 90.00°
Space group Cmcm (No. 63)
One atom of each set of equivalent atoms:
1 Cs 0.000 0.061 0.250 (multiplicity 4)
2 Dy 0.000 0.192 0.591 (multiplicity 8)
3 Cu 0.000 0.341 0.250 (multiplicity 4)
4 Cu 0.000 0.415 0.530 (multiplicity 8)
5 Se 0.000 0.168 0.070 (multiplicity 8)
6 Se 0.000 0.238 0.750 (multiplicity 4)
7 Se 0.000 0.439 0.112 (multiplicity 8)



(12)
A plane-wave DFT calculation with GGA-PBE was carried out for a relaxed CsDyCuSe3 crystal.

**Crystal system**: monoclinic
**VASP energy**: -54.3 eV/cell

Cell: 9.738 4.127 10.137 Å, 90.00 112.45 90.00°
Space group P2_1/m (No. 11)
One atom of each set of equivalent atoms:
1 Cs 0.215 0.250 0.249 (multiplicity 2)
2 Dy 0.326 0.750 0.860 (multiplicity 2)
3 Cu 0.083 0.250 0.611 (multiplicity 2)
4 Se 0.123 0.250 0.862 (multiplicity 2)
5 Se 0.180 0.750 0.547 (multiplicity 2)
6 Se 0.478 0.750 0.162 (multiplicity 2)